Version A
A geometry-optimized LaNdHoIn structure, computed with GGA-PBE.

Computed properties:
Crystal system: cubic
Magnetic moment (Bohr magnetons per cell): 1.91
Space-group type: F-43m, No. 216

a b c (Å): 7.9218 7.9218 7.9218
angles (deg): 90.00 90.00 90.00
Sites, in units of the cell vectors:
La  0.0000  0.0000  0.0000
La  0.0000  0.5000  0.5000
La  0.5000  0.0000  0.5000
La  0.5000  0.5000  0.0000
Nd  0.0000  0.0000  0.5000
Nd  0.0000  0.5000  0.0000
Nd  0.5000  0.0000  0.0000
Nd  0.5000  0.5000  0.5000
Ho  0.2500  0.2500  0.7500
Ho  0.2500  0.7500  0.2500
Ho  0.7500  0.2500  0.2500
Ho  0.7500  0.7500  0.7500
In  0.2500  0.2500  0.2500
In  0.2500  0.7500  0.7500
In  0.7500  0.2500  0.7500
In  0.7500  0.7500  0.2500

=====

Version B
A geometry-optimized LaNdHoIn structure, computed with GGA-PBE.

Computed properties:
Crystal system: cubic
Magnetic moment (Bohr magnetons per cell): 0.02
Space-group type: F-43m, No. 216

a b c (Å): 7.8452 7.8452 7.8452
angles (deg): 90.00 90.00 90.00
Sites, in units of the cell vectors:
La  0.0000  0.0000  0.0000
La  0.0000  0.5000  0.5000
La  0.5000  0.0000  0.5000
La  0.5000  0.5000  0.0000
Nd  0.2500  0.2500  0.2500
Nd  0.2500  0.7500  0.7500
Nd  0.7500  0.2500  0.7500
Nd  0.7500  0.7500  0.2500
Ho  0.2500  0.2500  0.7500
Ho  0.2500  0.7500  0.2500
Ho  0.7500  0.2500  0.2500
Ho  0.7500  0.7500  0.7500
In  0.0000  0.0000  0.5000
In  0.0000  0.5000  0.0000
In  0.5000  0.0000  0.0000
In  0.5000  0.5000  0.5000

=====

Order of stability, best first: version A, version B

=====

Version A
A geometry-optimized LaHoInPb structure, computed with GGA-PBE.

Computed properties:
Crystal system: tetragonal
Magnetic moment (Bohr magnetons per cell): 0.00
Space-group type: I-4m2, No. 119

a b c (Å): 5.0874 5.0874 8.9895
angles (deg): 90.00 90.00 90.00
Sites, in units of the cell vectors:
La  0.0000  0.0000  0.0000
La  0.5000  0.5000  0.5000
Ho  0.0000  0.0000  0.5000
Ho  0.5000  0.5000  0.0000
In  0.0000  0.5000  0.2500
In  0.5000  0.0000  0.7500
Pb  0.0000  0.5000  0.7500
Pb  0.5000  0.0000  0.2500

=====

Version B
A geometry-optimized LaHoInPb structure, computed with GGA-PBE.

Computed properties:
Crystal system: cubic
Magnetic moment (Bohr magnetons per cell): 0.00
Space-group type: F-43m, No. 216

a b c (Å): 7.7903 7.7903 7.7903
angles (deg): 90.00 90.00 90.00
Sites, in units of the cell vectors:
La  0.0000  0.0000  0.0000
La  0.0000  0.5000  0.5000
La  0.5000  0.0000  0.5000
La  0.5000  0.5000  0.0000
Ho  0.0000  0.0000  0.5000
Ho  0.0000  0.5000  0.0000
Ho  0.5000  0.0000  0.0000
Ho  0.5000  0.5000  0.5000
In  0.2500  0.2500  0.7500
In  0.2500  0.7500  0.2500
In  0.7500  0.2500  0.2500
In  0.7500  0.7500  0.7500
Pb  0.2500  0.2500  0.2500
Pb  0.2500  0.7500  0.7500
Pb  0.7500  0.2500  0.7500
Pb  0.7500  0.7500  0.2500

=====

Order of stability, best first: version A, version B